# SrFe2Co PBE-GGA relaxed
# Final energy ... -73.87 eV for the cell shown
# DOS at the Fermi energy ... 13.713 states/eV/cell
data_SrFe2Co
_cell_length_a 4.0577
_cell_length_b 4.0577
_cell_length_c 16.2547
_cell_angle_alpha 90.00
_cell_angle_beta 90.00
_cell_angle_gamma 120.00
_symmetry_space_group_name_H-M 'R 3 m'
_symmetry_Int_Tables_number 160
_symmetry_space_group_name_Hall 'R 3 -2"'
loop_
_atom_site_label
_atom_site_type_symbol
_atom_site_fract_x
_atom_site_fract_y
_atom_site_fract_z
_atom_site_occupancy
Sr1 Sr 0.0000 0.0000 0.0000 1
Fe1 Fe 0.0000 0.0000 0.5055 1
Fe2 Fe 0.0000 0.0000 0.8129 1
Co1 Co 0.0000 0.0000 0.1849 1

***

# SrFeCo2 PBE-GGA relaxed
# Final energy ... -22.62 eV for the cell shown
# DOS at the Fermi energy ... 4.706 states/eV/cell
data_SrFeCo2
_cell_length_a 3.113
_cell_length_b 3.113
_cell_length_c 6.937
_cell_angle_alpha 90.00
_cell_angle_beta 90.00
_cell_angle_gamma 90.00
_symmetry_space_group_name_H-M 'P 4/m m m'
_symmetry_Int_Tables_number 123
_symmetry_space_group_name_Hall '-P 4 2'
loop_
_atom_site_label
_atom_site_type_symbol
_atom_site_fract_x
_atom_site_fract_y
_atom_site_fract_z
_atom_site_occupancy
Sr1 Sr 0.000 0.000 0.000 1
Fe1 Fe 0.000 0.000 0.500 1
Co1 Co 0.500 0.500 0.331 1

***

# SrFeCo2 PBE-GGA relaxed
# Final energy ... -47.08 eV for the cell shown
# DOS at the Fermi energy ... 9.448 states/eV/cell
data_SrFeCo2
_cell_length_a 7.064
_cell_length_b 4.077
_cell_length_c 5.877
_cell_angle_alpha 90.00
_cell_angle_beta 113.49
_cell_angle_gamma 90.00
_symmetry_space_group_name_H-M 'C 1 m 1'
_symmetry_Int_Tables_number 8
_symmetry_space_group_name_Hall 'C -2y'
loop_
_atom_site_label
_atom_site_type_symbol
_atom_site_fract_x
_atom_site_fract_y
_atom_site_fract_z
_atom_site_occupancy
Sr1 Sr 0.000 0.000 0.000 1
Fe1 Fe 0.311 0.500 0.435 1
Co1 Co 0.008 0.500 0.527 1
Co2 Co 0.185 0.000 0.556 1

***

# Sr3FeCo PBE-GGA relaxed
# Final energy ... -15.76 eV for the cell shown
# DOS at the Fermi energy ... 37.005 states/eV/cell
data_Sr3FeCo
_cell_length_a 5.527
_cell_length_b 5.527
_cell_length_c 5.527
_cell_angle_alpha 90.00
_cell_angle_beta 90.00
_cell_angle_gamma 90.00
_symmetry_space_group_name_H-M 'P m -3 m'
_symmetry_Int_Tables_number 221
_symmetry_space_group_name_Hall '-P 4 2 3'
loop_
_atom_site_label
_atom_site_type_symbol
_atom_site_fract_x
_atom_site_fract_y
_atom_site_fract_z
_atom_site_occupancy
Sr1 Sr 0.000 0.000 0.500 1
Fe1 Fe 0.000 0.000 0.000 1
Co1 Co 0.500 0.500 0.500 1